Sc4Bi2Sb: relaxed, GGA-PBE.

Summary:
space-group type = No. 63
VASP energy = -40.881 eV/f.u.

Cell: 7.330 7.330 13.076 Å, 90.00 90.00 146.69°
Positions (direct):
Sc 0.000 0.000 0.000
Sc 0.000 0.000 0.500
Sc 0.276 0.724 0.628
Sc 0.276 0.724 0.872
Sc 0.480 0.520 0.250
Sc 0.520 0.480 0.750
Sc 0.724 0.276 0.128
Sc 0.724 0.276 0.372
Bi 0.364 0.636 0.072
Bi 0.364 0.636 0.428
Bi 0.636 0.364 0.572
Bi 0.636 0.364 0.928
Sb 0.118 0.882 0.250
Sb 0.882 0.118 0.750